Entry from OQMD: KGdSO after structural relaxation (PBE).

```
16
Lattice="7.543 0.000 0.000 0.000 7.416 0.000 -1.639 0.000 6.288" Properties=species:S:1:pos:R:3 pbc="T T T"
K 0.613 1.814 0.057
K -0.206 1.895 3.201
K 6.110 5.522 3.087
K 5.290 5.603 6.231
Gd 3.109 4.648 1.692
Gd 2.290 6.476 4.836
Gd 3.614 0.940 1.452
Gd 2.794 2.768 4.596
S 0.482 4.372 5.298
S 1.302 6.752 2.154
S 4.602 0.664 4.134
S 5.421 3.044 0.990
O 1.515 1.099 5.521
O 2.334 2.609 2.377
O 3.569 4.807 3.911
O 4.389 6.317 0.767
```

raw total energy = -6.014 eV per atom
ΔE to the lowest computed polymorph = 0.000 eV/f.u.